No. 1
# Nb3InSe

A geometry-optimized Nb3InSe structure (PBE, Alexandria via LeMat-Bulk).

**VASP energy**: -7.44 eV per atom
**Symmetry**: C2/m
**Energy relative to the lowest polymorph listed for this composition**: 0 meV per atom

Cell lengths 6.034, 6.034, 6.909 Å; angles 112.69, 112.69, 62.49 degrees
Atoms (fractional coordinates):
Nb1 0.096 0.096 0.303
Nb2 0.111 0.599 0.345
Nb3 0.401 0.889 0.655
Nb4 0.599 0.111 0.345
Nb5 0.889 0.401 0.655
Nb6 0.904 0.904 0.697
In1 0.416 0.416 0.749
In2 0.584 0.584 0.251
Se1 0.180 0.180 0.986
Se2 0.820 0.820 0.014

=====

No. 2
# Ca5Ge2P6

A geometry-optimized Ca5Ge2P6 structure (PBE, Alexandria via LeMat-Bulk).

**VASP energy**: -4.82 eV per atom
**Symmetry**: Pbam
**ΔE_f**: -845 meV per atom

Cell lengths 11.040, 13.573, 3.925 Å; angles 90.00, 90.00, 90.00 degrees
Atoms (fractional coordinates):
Ca1 0.000 0.000 0.000
Ca2 0.071 0.250 0.000
Ca3 0.164 0.508 0.000
Ca4 0.336 0.008 0.000
Ca5 0.429 0.750 0.000
Ca6 0.500 0.500 0.000
Ca7 0.571 0.250 0.000
Ca8 0.664 0.992 0.000
Ca9 0.836 0.492 0.000
Ca10 0.929 0.750 0.000
Ge1 0.178 0.719 0.500
Ge2 0.322 0.219 0.500
Ge3 0.678 0.781 0.500
Ge4 0.822 0.281 0.500
P1 0.013 0.609 0.500
P2 0.157 0.102 0.500
P3 0.181 0.828 0.000
P4 0.319 0.328 0.000
P5 0.343 0.602 0.500
P6 0.487 0.109 0.500
P7 0.513 0.891 0.500
P8 0.657 0.398 0.500
P9 0.681 0.672 0.000
P10 0.819 0.172 0.000
P11 0.843 0.898 0.500
P12 0.987 0.391 0.500

=====

No. 3
# NaTb4

A geometry-optimized NaTb4 structure (PBE, Alexandria via LeMat-Bulk).

**VASP energy**: -3.19 eV per atom
**Symmetry**: Pm-3m
**ΔE_f**: 776 meV per atom

Cell lengths 5.568, 5.568, 5.568 Å; angles 90.00, 90.00, 90.00 degrees
Atoms (fractional coordinates):
Na1 0.000 0.000 0.000
Tb1 0.000 0.000 0.500
Tb2 0.000 0.500 0.000
Tb3 0.500 0.000 0.000
Tb4 0.500 0.500 0.500

=====

No. 4
# Ca2AsBr

A geometry-optimized Ca2AsBr structure (PBE, Alexandria via LeMat-Bulk).

**VASP energy**: -3.08 eV per atom
**Symmetry**: F-43m

Cell lengths 5.301, 5.301, 5.301 Å; angles 60.00, 60.00, 60.00 degrees
Atoms (fractional coordinates):
Ca1 0.000 0.000 0.000
Ca2 0.250 0.250 0.250
As1 0.500 0.500 0.500
Br1 0.750 0.750 0.750

=====

No. 5
# ScGeS3

A geometry-optimized ScGeS3 structure (PBE, Alexandria via LeMat-Bulk).

**VASP energy**: -5.54 eV per atom
**Symmetry**: Amm2
**Energy relative to the lowest polymorph listed for this composition**: 0 meV per atom

Cell lengths 3.828, 6.565, 6.565 Å; angles 65.13, 90.00, 90.00 degrees
Atoms (fractional coordinates):
Sc1 0.000 0.000 0.000
Ge1 0.500 0.647 0.647
S1 0.000 0.772 0.772
S2 0.500 0.258 0.789
S3 0.500 0.789 0.258

=====

No. 6
# TlCdNi2

A geometry-optimized TlCdNi2 structure (PBE, Alexandria via LeMat-Bulk).

**VASP energy**: -3.29 eV per atom
**Symmetry**: R3m
**ΔE_f**: 420 meV per atom

Cell lengths 8.600, 8.600, 8.600 Å; angles 21.20, 21.20, 21.20 degrees
Atoms (fractional coordinates):
Tl1 0.000 0.000 0.000
Cd1 0.776 0.776 0.776
Ni1 0.250 0.250 0.250
Ni2 0.522 0.522 0.522

=====

No. 7
# Sr2ZnSe

A geometry-optimized Sr2ZnSe structure (PBE, Alexandria via LeMat-Bulk).

**VASP energy**: -2.90 eV per atom
**Symmetry**: Cm
**Energy relative to the lowest polymorph listed for this composition**: 81 meV per atom

Cell lengths 6.462, 6.462, 4.710 Å; angles 90.13, 90.13, 39.29 degrees
Atoms (fractional coordinates):
Sr1 0.000 0.000 0.000
Sr2 0.734 0.734 0.500
Zn1 0.464 0.464 0.499
Se1 0.265 0.265 0.001

=====

No. 8
# CsZn3P

A geometry-optimized CsZn3P structure (PBE, Alexandria via LeMat-Bulk).

**VASP energy**: -0.78 eV per atom
**Symmetry**: Pm-3m
**Energy relative to the lowest polymorph listed for this composition**: 946 meV per atom
**ΔE_f**: 1233 meV per atom

Cell lengths 6.954, 6.954, 6.954 Å; angles 90.00, 90.00, 90.00 degrees
Atoms (fractional coordinates):
Cs1 0.000 0.000 0.000
Zn1 0.000 0.000 0.500
Zn2 0.000 0.500 0.000
Zn3 0.500 0.000 0.000
P1 0.500 0.500 0.500

=====

M_tot in μB per cell, matching the order above: 0.0, 0.0, 0.0, 0.0, 0.0, 1.2, 0.0, 2.0